A.
DFT (PBE-GGA) results for LaYCo4 after structural relaxation.

Computed properties:
Its space group is F-43m (216). The value obtained for the density of states at the Fermi level is 9.99 states/eV/cell.

Lattice parameters (Å, degrees): 5.1370 5.1370 5.1370 60.00 60.00 60.00
With the nearest neighbours (Å) after each atom.
Atoms (fractional coordinates):
Co 0.1236 0.6255 0.6255  6 Co 2.56-2.58
Co 0.6255 0.6255 0.6255  6 Co 2.56-2.58
Co 0.6255 0.1236 0.6255  6 Co 2.56-2.58
Co 0.6255 0.6255 0.1236  6 Co 2.56-2.58
La 0.2500 0.2500 0.2500  12 Co 3.01, 4 Y 3.15
Y 0.0000 0.0000 0.0000  12 Co 3.01, 4 La 3.15

B.
DFT (PBE-GGA) results for LaYCo4 after structural relaxation.

Computed properties:
Its space group is Pmmm (47). The value obtained for the density of states at the Fermi level is 4.88 states/eV/cell.

Lattice parameters (Å, degrees): 4.1804 3.8900 6.7551 90.00 90.00 90.00
With the nearest neighbours (Å) after each atom.
Atoms (fractional coordinates):
La 0.9986 0.9973 0.4981  12 Co 3.08-3.09
Y 0.9986 0.4973 0.9981  12 Co 3.06
Co 0.4986 0.9973 0.1621  3 Co 2.22-2.25
Co 0.4985 0.9973 0.8342  3 Co 2.22-2.25
Co 0.4987 0.4973 0.6679  3 Co 2.25-2.29
Co 0.4986 0.4973 0.3283  3 Co 2.25-2.29

Top of the stability list: B, leading by 70 meV/atom.

A.
DFT (PBE-GGA) results for LaYCo10 after structural relaxation.

Computed properties:
Its space group is Pmmm (47). The value obtained for the density of states at the Fermi level is 19.29 states/eV/cell.

Lattice parameters (Å, degrees): 3.9464 4.9701 8.6715 90.00 90.00 90.00
With the nearest neighbours (Å) after each atom.
Atoms (fractional coordinates):
La 0.0000 0.5000 0.0000  10 Co 2.88-3.17
Y 0.0000 0.0000 0.5000  18 Co 2.86-3.17
Co 0.0000 0.5000 0.3321  6 Co 2.44-2.45
Co 0.0000 0.0000 0.8293  6 Co 2.43-2.47
Co 0.0000 0.0000 0.1707  6 Co 2.43-2.47
Co 0.0000 0.5000 0.6679  6 Co 2.44-2.45
Co 0.5000 0.5000 0.5000  8 Co 2.45
Co 0.5000 0.0000 0.0000  8 Co 2.47-2.55
Co 0.5000 0.7580 0.2592  8 Co 2.41-2.57
Co 0.5000 0.2420 0.7408  8 Co 2.41-2.57
Co 0.5000 0.2420 0.2592  8 Co 2.41-2.57
Co 0.5000 0.7580 0.7408  8 Co 2.41-2.57

B.
DFT (PBE-GGA) results for LaYCo10 after structural relaxation.

Computed properties:
Its space group is Pmm2 (25). The value obtained for the density of states at the Fermi level is 15.99 states/eV/cell.

Lattice parameters (Å, degrees): 2.6063 8.6504 8.2869 90.00 90.00 90.00
With the nearest neighbours (Å) after each atom.
Atoms (fractional coordinates):
La 0.0000 0.8922 0.0000  4 Co 2.47-2.59, 2 La 2.61
Y 0.0000 0.5653 0.5000  4 Co 2.60-2.76, 2 Y 2.61
Co 0.0000 0.0627 0.2573  2 Co 2.20-2.31
Co 0.0000 0.5281 0.8625  3 Co 2.26-2.34
Co 0.0000 0.5281 0.1375  3 Co 2.26-2.34
Co 0.0000 0.0627 0.7427  2 Co 2.20-2.31
Co 0.0000 0.7682 0.2679  5 Co 2.34-2.61, 1 La 2.47, 1 Y 2.60
Co 0.0000 0.3143 0.7051  2 Co 2.20-2.26
Co 0.0000 0.3143 0.2949  2 Co 2.20-2.26
Co 0.0000 0.7682 0.7321  5 Co 2.34-2.61, 1 La 2.47, 1 Y 2.60
Co 0.0000 0.9306 0.5000  4 Co 2.31-2.38
Co 0.0000 0.2655 0.0000  8 Co 2.48-2.76

Top of the stability list: A, leading by 874 meV/atom.